# DyAgP2Pt7 (PBE, relaxed)
data_DyAgP2Pt7
_chemical_formula_sum 'Dy2 Ag2 P4 Pt14'
_cell_length_a 4.005
_cell_length_b 4.005
_cell_length_c 29.255
_cell_angle_alpha 90.00
_cell_angle_beta 90.00
_cell_angle_gamma 90.00
_symmetry_space_group_name_H-M 'I -4 m 2'
_symmetry_Int_Tables_number 119
_symmetry_space_group_name_Hall 'I -4 -2'
loop_
_atom_site_label
_atom_site_type_symbol
_atom_site_fract_x
_atom_site_fract_y
_atom_site_fract_z
Dy1 Dy 0.000 0.000 0.000
Ag1 Ag 0.000 0.500 0.250
P1 P 0.000 0.000 0.381
Pt1 Pt 0.000 0.000 0.308
Pt2 Pt 0.000 0.000 0.500
Pt3 Pt 0.000 0.500 0.075
Pt4 Pt 0.000 0.500 0.575
# * electronic total energy: -127.9 eV per cell
# * crystal system: tetragonal
# * calculated density: 12016 kg/m3
# * DOS(E_F): 0.46 states/eV/atom